The following is a DFT calculation (PBE-GGA) of a geometry-optimized Th2ScRe structure.

The uncorrected energy is -8.27 eV/atom. The value obtained for the energy relative to the lowest polymorph listed for this composition is 0 kJ/mol of formula units. For the theoretical density, the calculation gives 11.2 g/cm3.

The structure belongs to space group P4/mmm (No. 123); the cell edges are 3.549, 3.549 and 8.213 Å and the angles 90.00°, 90.00° and 90.00°. Symmetry generates all atoms from Th at (0.000, 0.000, 0.216), Sc at (0.500, 0.500, 0.500) and Re at (0.500, 0.500, 0.000).

The following is a DFT calculation (PBE-GGA) of a geometry-optimized ThScRe structure.

The uncorrected energy is -8.78 eV/atom. The value obtained for the energy relative to the lowest polymorph listed for this composition is 0 kJ/mol of formula units. For the theoretical density, the calculation gives 10.7 g/cm3.

The structure belongs to space group P-1 (No. 2); the cell edges are 4.505, 6.039 and 6.249 Å and the angles 71.98°, 69.01° and 68.25°. Symmetry generates all atoms from Th at (0.079, 0.164, 0.176), Sc at (0.305, 0.308, 0.581) and Re at (0.358, 0.645, 0.137).

The following is a DFT calculation (PBE-GGA) of a geometry-optimized ThScRe structure.

The uncorrected energy is -8.71 eV/atom. The value obtained for the energy relative to the lowest polymorph listed for this composition is 22 kJ/mol of formula units. For the theoretical density, the calculation gives 10.6 g/cm3.

The structure belongs to space group I4mm (No. 107); the cell edges are 3.393, 3.393 and 12.599 Å and the angles 90.00°, 90.00° and 90.00°. Symmetry generates all atoms from Th at (0.000, 0.000, 0.000), Sc at (0.000, 0.000, 0.738) and Re at (0.000, 0.000, 0.361).

The following is a DFT calculation (PBE-GGA) of a geometry-optimized TmThScRe structure.

The uncorrected energy is -7.56 eV/atom. For the theoretical density, the calculation gives 11.3 g/cm3.

The structure belongs to space group F-43m (No. 216); the cell edges are 7.188, 7.188 and 7.188 Å and the angles 90.00°, 90.00° and 90.00°. Symmetry generates all atoms from Tm at (0.000, 0.000, 0.000), Th at (0.000, 0.000, 0.500), Sc at (0.250, 0.250, 0.250) and Re at (0.250, 0.250, 0.750).

The following is a DFT calculation (PBE-GGA) of a geometry-optimized ThScZnRe structure.

The uncorrected energy is -6.94 eV/atom. For the theoretical density, the calculation gives 10.5 g/cm3.

The structure belongs to space group F-43m (No. 216); the cell edges are 6.946, 6.946 and 6.946 Å and the angles 90.00°, 90.00° and 90.00°. Symmetry generates all atoms from Th at (0.000, 0.000, 0.000), Sc at (0.000, 0.000, 0.500), Zn at (0.250, 0.250, 0.250) and Re at (0.250, 0.250, 0.750).

The following is a DFT calculation (PBE-GGA) of a geometry-optimized Sc2TiRe3 structure.

The uncorrected energy is -9.97 eV/atom. For the theoretical density, the calculation gives 10.9 g/cm3.

The structure belongs to space group C2/m (No. 12); the cell edges are 9.151, 5.274 and 5.334 Å and the angles 90.00°, 124.82° and 90.00°. Symmetry generates all atoms from Sc at (0.122, 0.000, 0.367), Ti at (0.000, 0.500, 0.500), Re at (0.000, 0.500, 0.000) and Re at (0.250, 0.250, 0.000).

The following is a DFT calculation (PBE-GGA) of a geometry-optimized Sc2TiRe2 structure.

The uncorrected energy is -9.06 eV/atom. For the theoretical density, the calculation gives 8.9 g/cm3.

The structure belongs to space group P4/mbm (No. 127); the cell edges are 6.573, 6.573 and 4.388 Å and the angles 90.00°, 90.00° and 90.00°. Symmetry generates all atoms from Sc at (0.173, 0.327, 0.000), Ti at (0.000, 0.000, 0.500) and Re at (0.133, 0.633, 0.500).

The following is a DFT calculation (PBE-GGA) of a geometry-optimized YScTi2Re structure.

The uncorrected energy is -6.63 eV/atom. For the theoretical density, the calculation gives 6.6 g/cm3.

The structure belongs to space group P4/mmm (No. 123); the cell edges are 4.497, 4.497 and 5.163 Å and the angles 90.00°, 90.00° and 90.00°. Symmetry generates all atoms from Y at (0.000, 0.000, 0.000), Sc at (0.000, 0.000, 0.500), Ti at (0.000, 0.500, 0.500) and Re at (0.500, 0.500, 0.000).

Going through the records in order, we get formation energy values of 12.9; -4.8; 2.5; 10.3; -6.8; -31.0; 2.8; 152.1 kJ/mol of atoms.
Going through the records in order, we get D(E_F) values of 5.82; 3.14; 2.14; 4.85; 5.69; 7.34; 2.10; 6.02 states/eV/f.u..